Here is a relaxed CoAgAsBr2 crystal from Alexandria via LeMat-Bulk. Energies are from GGA-PBE.

Values from the calculation:
* symmetry: P4/mmm, No. 123
* VASP energy: -2.60 eV/atom
* energy above the most stable polymorph in this dataset: 0.714 eV/atom
* formation energy without anion corrections: 0.992 eV/atom
* density of states at the Fermi level: 10.89 states/eV/cell

Cell lengths 5.266, 5.266, 5.121 Å; angles 90.00, 90.00, 90.00 degrees
Fractional positions:
Co 0.000 0.000 0.000
Ag 0.500 0.500 0.500
As 0.500 0.500 0.000
Br 0.000 0.500 0.500
Br 0.500 0.000 0.500